A plane-wave DFT calculation with GGA-PBE was carried out for a relaxed Cs2Mn3Te4 crystal.

Cell lengths 6.651, 13.104, 15.579 Å; angles 90.00, 90.00, 90.00 degrees
Space group Ibam (No. 72)
Unique sites:
Cs (0.236, 0.123, 0.000)
Mn (0.000, 0.237, 0.250)
Mn (0.000, 0.500, 0.250)
Te (0.228, 0.369, 0.149)

Output
- final energy (eV per atom) = -5.148
- formation energy from raw total energies (eV per atom) = -0.506